Computed, not measured: V2TcN after structural relaxation at the PBE level of DFT.

Summary:
The value obtained for the total DFT energy (no corrections) is -9.88 eV per atom. The density comes out at 7678 kg/m³. The density of states at the Fermi level is 3.5 states/eV/f.u. The formation energy from raw total energies comes out at -0.645 eV per atom. Its size of the total moment is 0.00 Bohr magnetons per cell.

abc: 2.8599 2.8599 19.5919
angles: 90.00 90.00 120.00
Last column: nearest neighbours and their distance in Å.
Fractional coordinates of all 12 atoms:
V: 0.0000 0.0000 0.0000  3 N 2.00
V: 0.0000 0.0000 0.2181  3 N 2.00
V: 0.3333 0.6667 0.6667  3 N 2.00
V: 0.3333 0.6667 0.8847  3 N 2.00
V: 0.6667 0.3333 0.3333  3 N 2.00
V: 0.6667 0.3333 0.5514  3 N 2.00
Tc: 0.0000 0.0000 0.4413  6 V 2.68-2.72, 6 Tc 2.86
Tc: 0.3333 0.6667 0.1080  6 V 2.68-2.72, 6 Tc 2.86
Tc: 0.6667 0.3333 0.7746  6 V 2.68-2.72, 6 Tc 2.86
N: 0.0000 0.0000 0.6094  6 V 2.00
N: 0.3333 0.6667 0.2760  6 V 2.00
N: 0.6667 0.3333 0.9427  6 V 2.00



Computed, not measured: V2TcN after structural relaxation at the PBE level of DFT.

Summary:
The value obtained for the total DFT energy (no corrections) is -9.24 eV per atom. The density comes out at 6523 kg/m³. The density of states at the Fermi level is 4.1 states/eV/f.u. The formation energy from raw total energies comes out at -0.010 eV per atom. Its size of the total moment is 0.00 Bohr magnetons per cell.

abc: 5.5389 5.5389 7.0991
angles: 90.00 90.00 90.00
Last column: nearest neighbours and their distance in Å.
Fractional coordinates of all 16 atoms:
V: 0.1628 0.7500 0.1250  2 N 1.88
V: 0.2500 0.1628 0.8750  2 N 1.88
V: 0.2500 0.3372 0.3750  2 N 1.88
V: 0.3372 0.7500 0.6250  2 N 1.88
V: 0.6628 0.2500 0.6250  2 N 1.88
V: 0.7500 0.6628 0.3750  2 N 1.88
V: 0.7500 0.8372 0.8750  2 N 1.88
V: 0.8372 0.2500 0.1250  2 N 1.88
Tc: 0.0000 0.0000 0.5000  4 V 2.49
Tc: 0.0000 0.5000 0.7500  4 V 2.49
Tc: 0.5000 0.0000 0.2500  4 V 2.49
Tc: 0.5000 0.5000 0.0000  4 V 2.49
N: 0.0000 0.0000 0.0000  4 V 1.88
N: 0.0000 0.5000 0.2500  4 V 1.88
N: 0.5000 0.0000 0.7500  4 V 1.88
N: 0.5000 0.5000 0.5000  4 V 1.88



Computed, not measured: VTc3N after structural relaxation at the PBE level of DFT.

Summary:
The value obtained for the total DFT energy (no corrections) is -7.28 eV per atom. Its energy above the lowest structure with this stoichiometry is 1202.8 kJ/mol of formula units. The density comes out at 6799 kg/m³. The density of states at the Fermi level is 5.5 states/eV/f.u. The formation energy from raw total energies comes out at 2.431 eV per atom. Its size of the total moment is 1.26 Bohr magnetons per cell.

abc: 4.4423 4.4423 4.4423
angles: 90.00 90.00 90.00
Last column: nearest neighbours and their distance in Å.
Fractional coordinates of all 5 atoms:
V: 0.0000 0.0000 0.0000  6 Tc 2.22
Tc: 0.0000 0.0000 0.5000  2 V 2.22
Tc: 0.0000 0.5000 0.0000  2 V 2.22
Tc: 0.5000 0.0000 0.0000  2 V 2.22
N: 0.5000 0.5000 0.5000  12 Tc 3.14



Computed, not measured: VTc2N after structural relaxation at the PBE level of DFT.

Summary:
The value obtained for the total DFT energy (no corrections) is -9.55 eV per atom. The density comes out at 8517 kg/m³. The density of states at the Fermi level is 3.9 states/eV/f.u. The formation energy from raw total energies comes out at -0.003 eV per atom. Its size of the total moment is 0.00 Bohr magnetons per cell.

abc: 6.9312 6.9312 4.2363
angles: 90.00 90.00 90.00
Last column: nearest neighbours and their distance in Å.
Fractional coordinates of all 16 atoms:
V: 0.0000 0.0000 0.0000  2 N 2.12
V: 0.0000 0.5000 0.2500  2 N 2.12
V: 0.5000 0.0000 0.7500  2 N 2.12
V: 0.5000 0.5000 0.5000  2 N 2.12
Tc: 0.1365 0.7500 0.6250  2 N 2.04
Tc: 0.2500 0.1365 0.3750  2 N 2.04
Tc: 0.2500 0.3635 0.8750  2 N 2.04
Tc: 0.3635 0.7500 0.1250  2 N 2.04
Tc: 0.6365 0.2500 0.1250  2 N 2.04
Tc: 0.7500 0.6365 0.8750  2 N 2.04
Tc: 0.7500 0.8635 0.3750  2 N 2.04
Tc: 0.8635 0.2500 0.6250  2 N 2.04
N: 0.0000 0.0000 0.5000  4 Tc 2.04, 2 V 2.12
N: 0.0000 0.5000 0.7500  4 Tc 2.04, 2 V 2.12
N: 0.5000 0.0000 0.2500  4 Tc 2.04, 2 V 2.12
N: 0.5000 0.5000 0.0000  4 Tc 2.04, 2 V 2.12



Computed, not measured: V2TcN after structural relaxation at the PBE level of DFT.

Summary:
The value obtained for the total DFT energy (no corrections) is -9.46 eV per atom. The density comes out at 7820 kg/m³. The density of states at the Fermi level is 2.8 states/eV/f.u. The formation energy from raw total energies comes out at -0.226 eV per atom. Its size of the total moment is 0.00 Bohr magnetons per cell.

abc: 2.5791 2.5791 6.8283
angles: 90.00 90.00 90.00
Last column: nearest neighbours and their distance in Å.
Fractional coordinates of all 4 atoms:
V: 0.0000 0.0000 0.1756  4 N 2.18, 1 V 2.40
V: 0.0000 0.0000 0.8244  4 N 2.18, 1 V 2.40
Tc: 0.5000 0.5000 0.5000  4 Tc 2.58, 8 V 2.87
N: 0.5000 0.5000 0.0000  8 V 2.18



Computed, not measured: VTc3N after structural relaxation at the PBE level of DFT.

Summary:
The value obtained for the total DFT energy (no corrections) is -9.77 eV per atom. Its energy above the lowest structure with this stoichiometry is 0.0 kJ/mol of formula units. The density comes out at 9146 kg/m³. The density of states at the Fermi level is 4.2 states/eV/f.u. The formation energy from raw total energies comes out at -0.063 eV per atom. Its size of the total moment is 0.00 Bohr magnetons per cell.

abc: 4.0242 4.0242 4.0242
angles: 90.00 90.00 90.00
Last column: nearest neighbours and their distance in Å.
Fractional coordinates of all 5 atoms:
V: 0.0000 0.0000 0.0000  12 Tc 2.85
Tc: 0.0000 0.5000 0.5000  2 N 2.01
Tc: 0.5000 0.0000 0.5000  2 N 2.01
Tc: 0.5000 0.5000 0.0000  2 N 2.01
N: 0.5000 0.5000 0.5000  6 Tc 2.01



Computed, not measured: VTc2N after structural relaxation at the PBE level of DFT.

Summary:
The value obtained for the total DFT energy (no corrections) is -9.09 eV per atom. The density comes out at 8505 kg/m³. The density of states at the Fermi level is 4.7 states/eV/f.u. The formation energy from raw total energies comes out at 0.459 eV per atom. Its size of the total moment is 0.01 Bohr magnetons per cell.

abc: 2.7563 2.7563 23.2298
angles: 90.00 90.00 120.00
Last column: nearest neighbours and their distance in Å.
Fractional coordinates of all 12 atoms:
V: 0.0000 0.0000 0.0000  2 Tc 2.44
V: 0.3333 0.6667 0.6667  2 Tc 2.44
V: 0.6667 0.3333 0.3333  2 Tc 2.44
Tc: 0.0000 0.0000 0.1052  3 N 2.14
Tc: 0.0000 0.0000 0.8948  3 N 2.14
Tc: 0.3333 0.6667 0.5615  3 N 2.14
Tc: 0.3333 0.6667 0.7719  3 N 2.14
Tc: 0.6667 0.3333 0.2281  3 N 2.14
Tc: 0.6667 0.3333 0.4385  3 N 2.14
N: 0.0000 0.0000 0.5000  6 Tc 2.14
N: 0.3333 0.6667 0.1667  6 Tc 2.14
N: 0.6667 0.3333 0.8333  6 Tc 2.14



Computed, not measured: V3TcN after structural relaxation at the PBE level of DFT.

Summary:
The value obtained for the total DFT energy (no corrections) is -9.71 eV per atom. Its energy above the lowest structure with this stoichiometry is 0.0 kJ/mol of formula units. The density comes out at 7224 kg/m³. The density of states at the Fermi level is 5.6 states/eV/f.u. The formation energy from raw total energies comes out at -0.501 eV per atom. Its size of the total moment is 0.00 Bohr magnetons per cell.

abc: 3.9339 3.9339 3.9339
angles: 90.00 90.00 90.00
Last column: nearest neighbours and their distance in Å.
Fractional coordinates of all 5 atoms:
V: 0.0000 0.0000 0.5000  2 N 1.97
V: 0.0000 0.5000 0.0000  2 N 1.97
V: 0.5000 0.0000 0.0000  2 N 1.97
Tc: 0.5000 0.5000 0.5000  12 V 2.78
N: 0.0000 0.0000 0.0000  6 V 1.97



Copy entry 7 word for word.
Computed, not measured: VTc2N after structural relaxation at the PBE level of DFT.

Summary:
The value obtained for the total DFT energy (no corrections) is -9.09 eV per atom. The density comes out at 8505 kg/m³. The density of states at the Fermi level is 4.7 states/eV/f.u. The formation energy from raw total energies comes out at 0.459 eV per atom. Its size of the total moment is 0.01 Bohr magnetons per cell.

abc: 2.7563 2.7563 23.2298
angles: 90.00 90.00 120.00
Last column: nearest neighbours and their distance in Å.
Fractional coordinates of all 12 atoms:
V: 0.0000 0.0000 0.0000  2 Tc 2.44
V: 0.3333 0.6667 0.6667  2 Tc 2.44
V: 0.6667 0.3333 0.3333  2 Tc 2.44
Tc: 0.0000 0.0000 0.1052  3 N 2.14
Tc: 0.0000 0.0000 0.8948  3 N 2.14
Tc: 0.3333 0.6667 0.5615  3 N 2.14
Tc: 0.3333 0.6667 0.7719  3 N 2.14
Tc: 0.6667 0.3333 0.2281  3 N 2.14
Tc: 0.6667 0.3333 0.4385  3 N 2.14
N: 0.0000 0.0000 0.5000  6 Tc 2.14
N: 0.3333 0.6667 0.1667  6 Tc 2.14
N: 0.6667 0.3333 0.8333  6 Tc 2.14



Question: formation energy from raw total energies of number 4 (VTc2N)?
Answer: -0.003 eV per atom



Question: What is the size of the total moment in the fifth record?
Answer: 0.00 Bohr magnetons per cell